# RbBN2

A relaxed RbBN2 crystal (GGA-PBEsol, Alexandria via LeMat-Bulk).

It has space group Fd-3m (No. 227, origin choice 2), with a = 7.172 Å, b = 7.172 Å, c = 7.172 Å, α = 90.00°, β = 90.00° and γ = 90.00°. The inequivalent atoms are Rb at (0.125, 0.125, 0.125), B at (0.125, 0.125, 0.625) and N at (0.000, 0.000, 0.500).

Its formation energy without anion corrections is 0.01 eV/atom.

# ZrAg3

A relaxed ZrAg3 crystal (GGA-PBEsol, Alexandria via LeMat-Bulk).

It has space group Pmmn (No. 59, origin choice 2), with a = 4.790 Å, b = 6.018 Å, c = 4.896 Å, α = 90.00°, β = 90.00° and γ = 90.00°. The inequivalent atoms are Zr at (0.250, 0.250, 0.162), Ag at (0.250, 0.504, 0.667) and Ag at (0.250, 0.750, 0.174).

As for the energy of formation from the pure elements: -82 meV per atom.